# PBE-GGA CeLuZnHg, relaxed
data_CeLuZnHg
_chemical_formula_sum 'Ce1 Lu1 Zn1 Hg1'
_space_group_name_H-M_alt 'P 1'
_space_group_IT_number 1
_cell_length_a 5.1928
_cell_length_b 5.1928
_cell_length_c 5.1928
_cell_angle_alpha 60.00
_cell_angle_beta 60.00
_cell_angle_gamma 60.00
loop_
_space_group_symop_operation_xyz
'x,y,z'
loop_
_atom_site_label
_atom_site_fract_x
_atom_site_fract_y
_atom_site_fract_z
Ce1 0.0000 0.0000 0.0000
Lu1 0.5000 0.5000 0.5000
Zn1 0.7500 0.7500 0.7500
Hg1 0.2500 0.2500 0.2500
# ΔH_f (0 K): -0.288 eV/atom
# space-group type: F-43m, No. 216


# PBE-GGA LuThS, relaxed
data_LuThS
_chemical_formula_sum 'Lu1 Th1 S1'
_space_group_name_H-M_alt 'P 1'
_space_group_IT_number 1
_cell_length_a 3.7573
_cell_length_b 3.7573
_cell_length_c 6.5092
_cell_angle_alpha 90.00
_cell_angle_beta 90.00
_cell_angle_gamma 120.00
loop_
_space_group_symop_operation_xyz
'x,y,z'
loop_
_atom_site_label
_atom_site_fract_x
_atom_site_fract_y
_atom_site_fract_z
Lu1 0.0000 0.0000 0.0000
Th1 0.6667 0.3333 0.4584
S1 0.3333 0.6667 0.7530
# space-group type: P3m1, No. 156
# formation energy (no corrections): -1.082 eV per atom


# PBE-GGA Hg2PtSe, relaxed
data_Hg2PtSe
_chemical_formula_sum 'Hg2 Pt1 Se1'
_space_group_name_H-M_alt 'P 1'
_space_group_IT_number 1
_cell_length_a 5.3199
_cell_length_b 3.6065
_cell_length_c 5.9706
_cell_angle_alpha 90.00
_cell_angle_beta 111.20
_cell_angle_gamma 90.00
loop_
_space_group_symop_operation_xyz
'x,y,z'
loop_
_atom_site_label
_atom_site_fract_x
_atom_site_fract_y
_atom_site_fract_z
Hg1 0.0000 0.0000 0.0000
Hg2 0.4299 0.5000 0.7352
Pt1 0.5398 0.0000 0.1103
Se1 0.6799 0.5000 0.4048
# space-group type: Pm, No. 6
# formation energy (no corrections): -0.049 eV per atom
# energy above the lowest structure with this stoichiometry: 0.0 meV per atom


# PBE-GGA CsIrRhO6, relaxed
data_CsIrRhO6
_chemical_formula_sum 'Cs1 Ir1 Rh1 O6'
_space_group_name_H-M_alt 'P 1'
_space_group_IT_number 1
_cell_length_a 5.3374
_cell_length_b 5.3374
_cell_length_c 6.5895
_cell_angle_alpha 90.00
_cell_angle_beta 90.00
_cell_angle_gamma 120.00
loop_
_space_group_symop_operation_xyz
'x,y,z'
loop_
_atom_site_label
_atom_site_fract_x
_atom_site_fract_y
_atom_site_fract_z
Cs1 0.0000 0.0000 0.0000
Ir1 0.6667 0.3333 0.5000
Rh1 0.3333 0.6667 0.5000
O1 0.3970 0.0072 0.6616
O2 0.3970 0.3898 0.3384
O3 0.6102 0.0072 0.3384
O4 0.6102 0.6030 0.6616
O5 0.9928 0.3898 0.6616
O6 0.9928 0.6030 0.3384
# space-group type: P312, No. 149
# formation energy (no corrections): -0.861 eV per atom


Number 1: theoretical density 9.746 g/cm³, DOS at the Fermi energy 9.745 states/eV per cell. Number 2: theoretical density 9.162 g/cm³, DOS at the Fermi energy 3.539 states/eV per cell. Number 3: theoretical density 10.499 g/cm³, DOS at the Fermi energy 1.313 states/eV per cell. Number 4: theoretical density 5.352 g/cm³, DOS at the Fermi energy 3.543 states/eV per cell.